DFT (GGA-PBE) results for an optimized crystal structure of TbDyRu.

Cell: 4.785 4.785 4.785 Å, 60.00 60.00 60.00°
Positions (direct):
Ru: 0.250 0.250 0.250
Tb: 0.000 0.000 0.000
Dy: 0.500 0.500 0.500

Output
The value obtained for the calculated total energy is -0.2369 Ha/atom. The value obtained for the magnetic moment is 0.00 μB per cell. Its crystal system is cubic.